Here is a relaxed structure of Cs2Zn2F7 from Alexandria via LeMat-Bulk. Energies are from GGA-PBE.

Unit cell a=8.238 b=12.884 c=3.951 alpha=90.00 beta=90.00 gamma=90.00
Space group Cmmm (No. 65)
Inequivalent atoms, fractional coordinates:
Cs  0.000  0.234  0.000 x4
Zn  0.244  0.000  0.500 x4
F  0.000  0.000  0.500 x2
F  0.219  0.500  0.000 x4
F  0.221  0.355  0.500 x8

Output
N(E_F) = 0.41 states/eV/atom
distance to the lowest polymorph of the same formula = 0 meV/atom
V = 419.4 Å³/cell

***

Here is a relaxed structure of TbNd6Er4 from Alexandria via LeMat-Bulk. Energies are from GGA-PBE.

Unit cell a=6.748 b=6.748 c=16.718 alpha=90.00 beta=90.00 gamma=90.00
Space group I-42m (No. 121)
Inequivalent atoms, fractional coordinates:
Tb  0.000  0.000  0.000 x2
Nd  0.000  0.500  0.000 x4
Nd  0.191  0.191  0.177 x8
Er  0.177  0.177  0.381 x8

Output
N(E_F) = 1.49 states/eV/atom
ΔE_f = 304 meV per atom
V = 761.3 Å³/cell

***

Here is a relaxed structure of ZnRh4Pb from Alexandria via LeMat-Bulk. Energies are from GGA-PBE.

Unit cell a=7.412 b=7.412 c=7.412 alpha=90.00 beta=90.00 gamma=90.00
Space group F-43m (No. 216)
Inequivalent atoms, fractional coordinates:
Zn  0.000  0.000  0.000 x4
Rh  0.125  0.125  0.375 x16
Pb  0.250  0.250  0.750 x4

Output
N(E_F) = 1.73 states/eV/atom
ΔE_f = 196 meV per atom
V = 407.1 Å³/cell

***

Here is a relaxed structure of Nd2Tm2Cd15 from Alexandria via LeMat-Bulk. Energies are from GGA-PBE.

Unit cell a=10.0584 b=10.0584 c=15.8962 alpha=90.00 beta=90.00 gamma=120.00
Space group R-3m (No. 166, hexagonal axes)
Inequivalent atoms, fractional coordinates:
Nd  0.0000  0.0000  0.1737 x6
Tm  0.0000  0.0000  0.4011 x6
Cd  0.0000  0.2918  0.5000 x18
Cd  0.0000  0.5000  0.0000 x9
Cd  0.0139  0.5069  0.6364 x18

Output
N(E_F) = 0.50 states/eV/atom
ΔE_f = -142 meV per atom
V = 1392.8 Å³/cell

***

Here is a relaxed structure of GdCo4Rh from Alexandria via LeMat-Bulk. Energies are from GGA-PBE.

Unit cell a=6.956 b=6.956 c=6.956 alpha=90.00 beta=90.00 gamma=90.00
Space group F-43m (No. 216)
Inequivalent atoms, fractional coordinates:
Gd  0.000  0.000  0.000 x4
Co  0.125  0.125  0.625 x16
Rh  0.250  0.250  0.250 x4

Output
N(E_F) = 1.09 states/eV/atom
ΔE_f = -97 meV per atom
V = 336.6 Å³/cell

***

Here is a relaxed structure of ZnGeRuSeO from Alexandria via LeMat-Bulk. Energies are from GGA-PBE.

Unit cell a=5.599 b=3.233 c=9.386 alpha=90.00 beta=101.36 gamma=90.00
Space group Cm (No. 8)
Inequivalent atoms, fractional coordinates:
Zn  0.000  0.000  0.000 x2
Ge  0.094  0.000  0.289 x2
Ru  0.327  0.500  0.491 x2
Se  0.218  0.000  0.664 x2
O  0.149  0.500  0.945 x2

Output
N(E_F) = 0.27 states/eV/atom
distance to the lowest polymorph of the same formula = 87 meV/atom
V = 166.6 Å³/cell

***

Here is a relaxed structure of Li2ScZn from Alexandria via LeMat-Bulk. Energies are from GGA-PBE.

Unit cell a=3.227 b=3.567 c=6.263 alpha=90.00 beta=90.00 gamma=90.00
Space group Pmmm (No. 47)
Inequivalent atoms, fractional coordinates:
Li  0.000  0.000  0.206 x2
Sc  0.500  0.500  0.500 x1
Zn  0.500  0.500  0.000 x1

Output
N(E_F) = 0.83 states/eV/atom
ΔE_f = 31 meV per atom
V = 72.1 Å³/cell

***

Here is a relaxed structure of GdErLuPu from Alexandria via LeMat-Bulk. Energies are from GGA-PBE.

Unit cell a=7.814 b=7.814 c=7.814 alpha=90.00 beta=90.00 gamma=90.00
Space group F-43m (No. 216)
Inequivalent atoms, fractional coordinates:
Gd  0.000  0.000  0.000 x4
Er  0.000  0.000  0.500 x4
Lu  0.250  0.250  0.250 x4
Pu  0.250  0.250  0.750 x4

Output
N(E_F) = 2.78 states/eV/atom
ΔE_f = 181 meV per atom
V = 477.1 Å³/cell

***

Here is a relaxed structure of Li4HS from Alexandria via LeMat-Bulk. Energies are from GGA-PBE.

Unit cell a=3.864 b=3.864 c=5.572 alpha=90.00 beta=90.00 gamma=90.00
Space group P4/mmm (No. 123)
Inequivalent atoms, fractional coordinates:
Li  0.000  0.500  0.234 x4
H  0.000  0.000  0.000 x1
S  0.500  0.500  0.500 x1

Output
N(E_F) = 0.22 states/eV/atom
E = -18.60 eV per cell
V = 83.2 Å³/cell

***

Here is a relaxed structure of PmSm2Te2S2 from Alexandria via LeMat-Bulk. Energies are from GGA-PBE.

Unit cell a=5.195 b=5.195 c=15.869 alpha=90.00 beta=90.00 gamma=90.00
Space group I4/mmm (No. 139)
Inequivalent atoms, fractional coordinates:
Pm  0.000  0.000  0.000 x2
Sm  0.000  0.000  0.387 x4
Te  0.000  0.000  0.191 x4
S  0.000  0.500  0.000 x4

Output
N(E_F) = 0.36 states/eV/atom
E = -76.22 eV per cell
V = 428.3 Å³/cell

***

Here is a relaxed structure of Tb2Ga3Ge2 from Alexandria via LeMat-Bulk. Energies are from GGA-PBE.

Unit cell a=4.604 b=3.332 c=9.787 alpha=90.00 beta=103.30 gamma=90.00
Space group P2/m (No. 10)
Inequivalent atoms, fractional coordinates:
Tb  0.143  0.000  0.286 x2
Ga  0.000  0.500  0.000 x1
Ga  0.282  0.500  0.565 x2
Ge  0.420  0.500  0.840 x2

Output
N(E_F) = 0.42 states/eV/atom
ΔE_f = -446 meV per atom
V = 146.1 Å³/cell

***

Here is a relaxed structure of HfTa4Se8 from Alexandria via LeMat-Bulk. Energies are from GGA-PBE.

Unit cell a=7.0988 b=7.0988 c=19.2710 alpha=90.00 beta=90.00 gamma=120.00
Space group R-3m (No. 166, hexagonal axes)
Inequivalent atoms, fractional coordinates:
Hf  0.0000  0.0000  0.0000 x3
Ta  0.0000  0.0000  0.5000 x3
Ta  0.0000  0.5000  0.5000 x9
Se  0.0000  0.0000  0.2510 x6
Se  0.0123  0.5061  0.2533 x18

Output
N(E_F) = 0.39 states/eV/atom
E = -284.10 eV per cell
V = 841.0 Å³/cell

***

Here is a relaxed structure of Tb3Pm5Pr2 from Alexandria via LeMat-Bulk. Energies are from GGA-PBE.

Unit cell a=9.516 b=22.095 c=6.905 alpha=90.00 beta=90.00 gamma=90.00
Space group Ibam (No. 72)
Inequivalent atoms, fractional coordinates:
Tb  0.000  0.000  0.250 x4
Tb  0.249  0.121  0.000 x8
Pm  0.000  0.248  0.250 x8
Pm  0.000  0.500  0.250 x4
Pm  0.092  0.373  0.000 x8
Pr  0.101  0.122  0.500 x8

Output
N(E_F) = 1.49 states/eV/atom
distance to the lowest polymorph of the same formula = 184 meV/atom
ΔE_f = 368 meV per atom
V = 1451.8 Å³/cell

***

Here is a relaxed structure of ThMnCo from Alexandria via LeMat-Bulk. Energies are from GGA-PBE.

Unit cell a=4.0082 b=4.0082 c=4.0689 alpha=90.00 beta=90.00 gamma=120.00
Space group P-6m2 (No. 187)
Inequivalent atoms, fractional coordinates:
Th  0.0000  0.0000  0.0000 x1
Mn  0.6667  0.3333  0.5000 x1
Co  0.3333  0.6667  0.5000 x1

Output
N(E_F) = 0.74 states/eV/atom
ΔE_f = -87 meV per atom
V = 56.6 Å³/cell

***

Here is a relaxed structure of Mg2TcSe from Alexandria via LeMat-Bulk. Energies are from GGA-PBE.

Unit cell a=3.455 b=3.455 c=5.772 alpha=90.00 beta=90.00 gamma=90.00
Space group P4/mmm (No. 123)
Inequivalent atoms, fractional coordinates:
Mg  0.000  0.000  0.238 x2
Tc  0.500  0.500  0.000 x1
Se  0.500  0.500  0.500 x1

Output
N(E_F) = 1.10 states/eV/atom
E = -17.20 eV per cell
V = 68.9 Å³/cell

***

Here is a relaxed structure of Mn2P from Alexandria via LeMat-Bulk. Energies are from GGA-PBE.

Unit cell a=2.825 b=2.995 c=8.693 alpha=90.00 beta=90.00 gamma=90.00
Space group Amm2 (No. 38)
Inequivalent atoms, fractional coordinates:
Mn  0.000  0.000  0.000 x2
Mn  0.500  0.000  0.302 x2
P  0.500  0.000  0.605 x2

Output
N(E_F) = 0.64 states/eV/atom
ΔE_f = -215 meV per atom
V = 73.6 Å³/cell

***

Here is a relaxed structure of SrCd2AgO4 from Alexandria via LeMat-Bulk. Energies are from GGA-PBE.

Unit cell a=3.350 b=12.009 c=12.126 alpha=90.00 beta=90.00 gamma=90.00
Space group Cmcm (No. 63)
Inequivalent atoms, fractional coordinates:
Sr  0.000  0.162  0.250 x4
Cd  0.000  0.371  0.029 x8
Ag  0.000  0.098  0.750 x4
O  0.000  0.000  0.000 x4
O  0.000  0.244  0.617 x8
O  0.000  0.491  0.750 x4

Output
N(E_F) = 0.92 states/eV/atom
E = -138.83 eV per cell
V = 487.9 Å³/cell

***

Here is a relaxed structure of CsMgHF2 from Alexandria via LeMat-Bulk. Energies are from GGA-PBE.

Unit cell a=3.622 b=15.154 c=6.932 alpha=90.00 beta=90.00 gamma=90.00
Space group Cmcm (No. 63)
Inequivalent atoms, fractional coordinates:
Cs  0.000  0.219  0.250 x4
Mg  0.000  0.500  0.000 x4
H  0.000  0.002  0.250 x4
F  0.000  0.377  0.501 x8

Output
N(E_F) = 0.00 states/eV/atom
E = -77.94 eV per cell
V = 380.4 Å³/cell

***

Here is a relaxed structure of NdScAl2 from Alexandria via LeMat-Bulk. Energies are from GGA-PBE.

Unit cell a=7.124 b=7.124 c=7.124 alpha=90.00 beta=90.00 gamma=90.00
Space group Fm-3m (No. 225)
Inequivalent atoms, fractional coordinates:
Nd  0.000  0.000  0.000 x4
Sc  0.000  0.000  0.500 x4
Al  0.250  0.250  0.250 x8

Output
N(E_F) = 0.50 states/eV/atom
distance to the lowest polymorph of the same formula = 40 meV/atom
ΔE_f = -360 meV per atom
V = 361.5 Å³/cell

***

Here is a relaxed structure of CaCuAsSe2 from Alexandria via LeMat-Bulk. Energies are from GGA-PBE.

Unit cell a=5.079 b=5.079 c=4.496 alpha=90.00 beta=90.00 gamma=90.00
Space group P4/mmm (No. 123)
Inequivalent atoms, fractional coordinates:
Ca  0.000  0.000  0.000 x1
Cu  0.500  0.500  0.500 x1
As  0.500  0.500  0.000 x1
Se  0.000  0.500  0.500 x2

Output
N(E_F) = 0.59 states/eV/atom
distance to the lowest polymorph of the same formula = 0 meV/atom
V = 116.0 Å³/cell

***

Here is a relaxed structure of Rb2Pu3I8 from Alexandria via LeMat-Bulk. Energies are from GGA-PBE.

Unit cell a=17.277 b=9.530 c=7.993 alpha=90.00 beta=91.50 gamma=90.00
Space group C2/m (No. 12)
Inequivalent atoms, fractional coordinates:
Rb  0.232  0.000  0.018 x4
Pu  0.000  0.248  0.500 x4
Pu  0.000  0.500  0.000 x2
I  0.105  0.500  0.340 x4
I  0.108  0.268  0.834 x8
I  0.109  0.000  0.378 x4

Output
N(E_F) = 4.30 states/eV/atom
E = -144.07 eV per cell
V = 1315.6 Å³/cell

***

Here is a relaxed structure of Er6TmCd2 from Alexandria via LeMat-Bulk. Energies are from GGA-PBE.

Unit cell a=12.463 b=3.699 c=11.733 alpha=90.00 beta=108.87 gamma=90.00
Space group C2/m (No. 12)
Inequivalent atoms, fractional coordinates:
Er  0.015  0.000  0.339 x4
Er  0.184  0.500  0.877 x4
Er  0.186  0.500  0.583 x4
Tm  0.000  0.000  0.000 x2
Cd  0.147  0.500  0.207 x4

Output
N(E_F) = 1.04 states/eV/atom
ΔE_f = -124 meV per atom
V = 511.9 Å³/cell

***

Here is a relaxed structure of GaSnHg2F6 from Alexandria via LeMat-Bulk. Energies are from GGA-PBE.

Unit cell a=6.212 b=6.233 c=8.801 alpha=90.00 beta=90.00 gamma=90.00
Space group Immm (No. 71)
Inequivalent atoms, fractional coordinates:
Ga  0.000  0.000  0.000 x2
Sn  0.000  0.000  0.500 x2
Hg  0.000  0.500  0.249 x4
F  0.000  0.000  0.221 x4
F  0.221  0.221  0.000 x8

Output
N(E_F) = 0.60 states/eV/atom
E = -73.74 eV per cell
V = 340.8 Å³/cell

***

Here is a relaxed structure of Ta2TcBr from Alexandria via LeMat-Bulk. Energies are from GGA-PBE.

Unit cell a=4.723 b=4.723 c=3.080 alpha=90.00 beta=90.00 gamma=90.00
Space group P4/mmm (No. 123)
Inequivalent atoms, fractional coordinates:
Ta  0.000  0.500  0.000 x2
Tc  0.000  0.000  0.500 x1
Br  0.500  0.500  0.500 x1

Output
N(E_F) = 0.97 states/eV/atom
distance to the lowest polymorph of the same formula = 489 meV/atom
V = 68.7 Å³/cell